(1)
Density functional theory data (GGA-PBE) for an optimized crystal structure of TbPu2Se4.

* E_form (uncorrected): -1.596 eV per atom
* total magnetization: 1.57 μB per atom
* relative energy among the computed polymorphs: 22 meV per atom
* volume: 27.162 A^3/atom

Cell: 4.018 7.094 13.910 Å, 90.00 90.00 106.45°
Site moments in Bohr magnetons follow the coordinates.
Fractional positions:
Tb1 0.621 0.242 0.750  0.08
Tb2 0.379 0.758 0.250  0.08
Se1 0.030 0.060 0.250  -0.06
Se2 0.222 0.444 0.875  -0.07
Se3 0.970 0.940 0.750  -0.06
Se4 0.222 0.444 0.625  -0.07
Se5 0.500 0.000 0.000  -0.11
Se6 0.778 0.556 0.125  -0.07
Se7 0.500 0.000 0.500  -0.11
Se8 0.778 0.556 0.375  -0.07
Pu1 0.133 0.267 0.069  5.32
Pu2 0.133 0.267 0.431  5.32
Pu3 0.867 0.733 0.931  5.32
Pu4 0.867 0.733 0.569  5.32


(2)
Density functional theory data (GGA-PBE) for an optimized crystal structure of Tb5PuSe6.

* E_form (uncorrected): -1.750 eV per atom
* total magnetization: 0.50 μB per atom
* volume: 24.409 A^3/atom

Cell: 7.127 7.089 7.096 Å, 60.03 80.44 70.58°
Site moments in Bohr magnetons follow the coordinates.
Fractional positions:
Se1 0.748 0.419 0.665  -0.01
Se2 0.749 0.748 0.000  -0.01
Se3 0.252 0.916 0.665  -0.01
Se4 0.748 0.084 0.335  -0.01
Se5 0.252 0.581 0.335  -0.01
Se6 0.251 0.252 0.000  -0.01
Pu1 0.000 0.000 0.000  5.47
Tb1 0.500 0.167 0.665  0.02
Tb2 0.500 0.500 0.000  0.01
Tb3 0.000 0.332 0.335  0.05
Tb4 0.000 0.668 0.665  0.05
Tb5 0.500 0.833 0.335  0.02